Entry 1:
! CoIrRu, single point on PBEsol structure, DFT SCAN; values from VASP
&SYSTEM
  ibrav = 0, nat = 3, ntyp = 3
/
ATOMIC_SPECIES
Ru 101.07 Ru.upf
Ir 192.22 Ir.upf
Co 58.93 Co.upf
CELL_PARAMETERS angstrom
-1.794 -0.953 3.464
0.144 -3.774 1.364
2.215 -0.884 3.231
ATOMIC_POSITIONS crystal
Ru 0.000 0.000 0.000
Ir 0.250 0.250 0.250
Co 0.500 0.500 0.500
! **Energy of formation from the pure elements**: 0.458 eV/atom
! **Crystal system**: cubic
! **Total DFT energy (no corrections)**: -40.619 eV/atom
! **Space group**: F-43m (216)
! **Calculated volume**: 15.26 Å³ per atom



Entry 2:
! Zn2CBr, single point on PBEsol structure, DFT SCAN; values from VASP
&SYSTEM
  ibrav = 0, nat = 4, ntyp = 3
/
ATOMIC_SPECIES
Zn 65.41 Zn.upf
C 12.01 C.upf
Br 79.90 Br.upf
CELL_PARAMETERS angstrom
-2.735 -1.631 3.006
-3.504 -2.310 -1.252
-0.145 -4.318 0.715
ATOMIC_POSITIONS crystal
Zn 0.250 0.250 0.250
Zn 0.750 0.750 0.750
C 0.000 0.000 0.000
Br 0.500 0.500 0.500
! **Uncorrected formation energy**: 6.5 eV/f.u.
! **Crystal system**: cubic
! **Total DFT energy (no corrections)**: -12.518 eV/atom
! **Space group**: Fm-3m (225)
! **Calculated volume**: 14.85 Å³ per atom



Entry 3:
! MgSc2P, single point on PBEsol structure, DFT SCAN; values from VASP
&SYSTEM
  ibrav = 0, nat = 4, ntyp = 3
/
ATOMIC_SPECIES
Mg 24.30 Mg.upf
P 30.97 P.upf
Sc 44.96 Sc.upf
CELL_PARAMETERS angstrom
-0.682 -2.961 1.685
0.202 -1.751 -2.995
6.021 -0.867 0.914
ATOMIC_POSITIONS crystal
Mg 0.500 0.500 0.000
P 0.500 0.500 0.500
Sc 0.000 0.000 0.723
Sc 0.000 0.000 0.277
! **Energy of formation from the pure elements**: -0.650 eV/atom
! **Crystal system**: tetragonal
! **Total DFT energy (no corrections)**: -11.611 eV/atom
! **Space group**: P4/mmm (123)
! **Calculated volume**: 18.57 Å³ per atom



Entry 4:
! LiAg2F4, single point on PBEsol structure, DFT SCAN; values from VASP
&SYSTEM
  ibrav = 0, nat = 14, ntyp = 3
/
ATOMIC_SPECIES
Li 6.94 Li.upf
Ag 107.87 Ag.upf
F 19.00 F.upf
CELL_PARAMETERS angstrom
5.669 0.000 0.000
0.000 5.669 0.000
-2.835 -2.835 6.121
ATOMIC_POSITIONS crystal
Li 0.250 0.750 0.500
Li 0.000 0.000 0.000
Ag 0.625 0.875 0.250
Ag 0.625 0.375 0.250
Ag 0.125 0.375 0.750
Ag 0.625 0.375 0.750
F 0.989 0.969 0.535
F 0.704 0.184 0.965
F 0.031 0.454 0.465
F 0.816 0.739 0.035
F 0.434 0.011 0.465
F 0.219 0.296 0.035
F 0.546 0.566 0.535
F 0.261 0.781 0.965
! **Uncorrected formation energy**: -11.5 eV/f.u.
! **Crystal system**: tetragonal
! **Total DFT energy (no corrections)**: -12.973 eV/atom
! **Space group**: I4_1/a (88)
! **Calculated volume**: 14.05 Å³ per atom



Entry 5:
! RbMg2In2, single point on PBEsol structure, DFT SCAN; values from VASP
&SYSTEM
  ibrav = 0, nat = 10, ntyp = 3
/
ATOMIC_SPECIES
Mg 24.30 Mg.upf
Rb 85.47 Rb.upf
In 114.82 In.upf
CELL_PARAMETERS angstrom
-2.796 -1.116 -1.004
4.343 -7.211 -4.077
-0.849 -4.967 7.881
ATOMIC_POSITIONS crystal
Mg 0.500 0.138 0.638
Mg 0.500 0.638 0.862
Mg 0.500 0.862 0.362
Mg 0.500 0.362 0.138
Rb 0.000 0.000 0.000
Rb 0.000 0.500 0.500
In 0.000 0.350 0.850
In 0.000 0.850 0.650
In 0.000 0.650 0.150
In 0.000 0.150 0.350
! **Energy of formation from the pure elements**: -0.114 eV/atom
! **Crystal system**: tetragonal
! **Total DFT energy (no corrections)**: -19.606 eV/atom
! **Space group**: P4/mbm (127)
! **Calculated volume**: 27.77 Å³ per atom



Entry 6:
! LuVO3, single point on PBEsol structure, DFT SCAN; values from VASP
&SYSTEM
  ibrav = 0, nat = 20, ntyp = 3
/
ATOMIC_SPECIES
Lu 174.97 Lu.upf
V 50.94 V.upf
O 16.00 O.upf
CELL_PARAMETERS angstrom
-4.671 1.157 1.708
-0.120 -4.721 2.869
3.002 3.480 5.852
ATOMIC_POSITIONS crystal
Lu 0.023 0.925 0.750
Lu 0.477 0.425 0.750
Lu 0.523 0.575 0.250
Lu 0.977 0.075 0.250
V 0.000 0.500 0.500
V 0.000 0.500 0.000
V 0.500 0.000 0.500
V 0.500 0.000 0.000
O 0.126 0.451 0.250
O 0.186 0.193 0.938
O 0.186 0.193 0.562
O 0.314 0.693 0.938
O 0.314 0.693 0.562
O 0.374 0.951 0.250
O 0.626 0.049 0.750
O 0.686 0.307 0.438
O 0.686 0.307 0.062
O 0.814 0.807 0.438
O 0.814 0.807 0.062
O 0.874 0.549 0.750
! **Uncorrected formation energy**: -16.9 eV/f.u.
! **Crystal system**: orthorhombic
! **Total DFT energy (no corrections)**: -21.684 eV/atom
! **Space group**: Pnma (62)
! **Calculated volume**: 10.50 Å³ per atom



Entry 7:
! BaNiW, single point on PBEsol structure, DFT SCAN; values from VASP
&SYSTEM
  ibrav = 0, nat = 3, ntyp = 3
/
ATOMIC_SPECIES
Ba 137.33 Ba.upf
Ni 58.69 Ni.upf
W 183.84 W.upf
CELL_PARAMETERS angstrom
4.664 0.000 0.000
2.332 4.039 0.000
2.332 1.346 3.808
ATOMIC_POSITIONS crystal
Ba 0.500 0.500 0.500
Ni 0.250 0.250 0.250
W 0.000 0.000 0.000
! **Energy of formation from the pure elements**: 1.756 eV/atom
! **Crystal system**: cubic
! **Total DFT energy (no corrections)**: -40.048 eV/atom
! **Space group**: F-43m (216)
! **Calculated volume**: 23.92 Å³ per atom



Entry 8:
! AgGeTe2, single point on PBEsol structure, DFT SCAN; values from VASP
&SYSTEM
  ibrav = 0, nat = 8, ntyp = 3
/
ATOMIC_SPECIES
Ge 72.64 Ge.upf
Te 127.60 Te.upf
Ag 107.87 Ag.upf
CELL_PARAMETERS angstrom
6.261 0.000 0.000
0.000 6.261 0.000
-3.131 -3.131 6.468
ATOMIC_POSITIONS crystal
Ge 0.750 0.250 0.500
Ge 0.500 0.500 0.000
Te 0.873 0.375 0.250
Te 0.377 0.875 0.250
Te 0.625 0.623 0.750
Te 0.125 0.127 0.750
Ag 0.250 0.750 0.500
Ag 0.000 0.000 0.000
! **Uncorrected formation energy**: 0.2 eV/f.u.
! **Crystal system**: tetragonal
! **Total DFT energy (no corrections)**: -31.200 eV/atom
! **Space group**: I-42d (122)
! **Calculated volume**: 31.70 Å³ per atom



What is the total DFT energy (no corrections) in the third record?
-11.611 eV/atom